# 1
# PuSnP2

A geometry-optimized PuSnP2 structure (PBE-GGA, Alexandria via LeMat-Bulk).

a = 4.1382 Å, b = 4.1382 Å, c = 6.6810 Å
α = 71.96°, β = 71.96°, γ = 60.00°
Each line ends with the local moment (μB).
Positions (direct):
P 0.2653 0.2653 0.2040  -0.20
P 0.0778 0.0778 0.7666  -0.12
Pu 0.6650 0.6650 0.0049  4.68
Sn 0.4918 0.4918 0.5245  -0.05

Computed properties:
DFT formation energy	-405.3	meV per atom
D(E_F)	8.52	states/eV/cell
energy above the most stable polymorph in this dataset	47	meV/atom
total magnetic moment	4.2	Bohr magnetons per cell



# 2
# PuSnP2

A geometry-optimized PuSnP2 structure (PBE-GGA, Alexandria via LeMat-Bulk).

a = 3.6709 Å, b = 4.5907 Å, c = 4.5907 Å
α = 90.00°, β = 90.00°, γ = 90.00°
Each line ends with the local moment (μB).
Positions (direct):
P 0.0000 0.5000 0.0000  -0.14
P 0.0000 0.0000 0.5000  -0.14
Pu 0.5000 0.0000 0.0000  4.78
Sn 0.5000 0.5000 0.5000  -0.02

Computed properties:
DFT formation energy	-452.7	meV per atom
D(E_F)	7.04	states/eV/cell
energy above the most stable polymorph in this dataset	0	meV/atom
total magnetic moment	4.4	Bohr magnetons per cell



# 3
# SrPuP2

A geometry-optimized SrPuP2 structure (PBE-GGA, Alexandria via LeMat-Bulk).

a = 4.1162 Å, b = 4.1162 Å, c = 7.4496 Å
α = 73.96°, β = 73.96°, γ = 60.00°
Each line ends with the local moment (μB).
Positions (direct):
P 0.2643 0.2643 0.2070  -0.19
P 0.0703 0.0703 0.7890  -0.16
Sr 0.4972 0.4972 0.5085  -0.03
Pu 0.6682 0.6682 0.9954  4.63

Computed properties:
DFT formation energy	-977.6	meV per atom
D(E_F)	11.22	states/eV/cell
energy above the most stable polymorph in this dataset	82	meV/atom
total magnetic moment	4.0	Bohr magnetons per cell



# 4
# SrPuP2

A geometry-optimized SrPuP2 structure (PBE-GGA, Alexandria via LeMat-Bulk).

a = 4.1546 Å, b = 4.1546 Å, c = 7.2558 Å
α = 90.00°, β = 106.64°, γ = 120.00°
Each line ends with the local moment (μB).
Positions (direct):
P 0.4726 0.7363 0.2089  -0.17
P 0.5274 0.2637 0.7911  -0.17
Sr 0.0000 0.5000 0.5000  -0.04
Pu 0.0000 0.0000 0.0000  4.61

Computed properties:
DFT formation energy	-1059.1	meV per atom
D(E_F)	11.32	states/eV/cell
energy above the most stable polymorph in this dataset	0	meV/atom
total magnetic moment	4.0	Bohr magnetons per cell



# 5
# Sr3PuU2P6

A geometry-optimized Sr3PuU2P6 structure (PBE-GGA, Alexandria via LeMat-Bulk).

a = 7.1566 Å, b = 7.1566 Å, c = 7.2914 Å
α = 99.42°, β = 99.42°, γ = 120.00°
Each line ends with the local moment (μB).
Positions (direct):
P 0.4118 0.0704 0.2106  -0.08
P 0.7286 0.7286 0.2106  -0.08
P 0.2714 0.2714 0.7894  -0.08
P 0.9296 0.5882 0.7894  -0.08
P 0.5882 0.9296 0.7894  -0.08
P 0.0704 0.4118 0.2106  -0.08
Sr 0.1651 0.8349 0.5000  0.00
Sr 0.8349 0.1651 0.5000  0.00
Sr 0.5000 0.5000 0.5000  0.00
U 0.6669 0.3331 0.0000  1.59
U 0.3331 0.6669 0.0000  1.59
Pu 0.0000 0.0000 0.0000  4.98

Computed properties:
DFT formation energy	-1057.5	meV per atom
D(E_F)	24.52	states/eV/cell
total magnetic moment	8.0	Bohr magnetons per cell



# 6
# Sr2PuZrP4

A geometry-optimized Sr2PuZrP4 structure (PBE-GGA, Alexandria via LeMat-Bulk).

a = 4.0492 Å, b = 6.9743 Å, c = 7.2596 Å
α = 108.62°, β = 90.00°, γ = 90.00°
Each line ends with the local moment (μB).
Positions (direct):
Sr 0.5000 0.0000 0.5000  -0.03
Sr 0.0000 0.5000 0.5000  0.00
Pu 0.5000 0.5000 0.0000  4.62
Zr 0.0000 0.0000 0.0000  0.04
P 0.5000 0.2315 0.2107  -0.08
P 0.0000 0.7438 0.2097  -0.12
P 0.0000 0.2562 0.7903  -0.12
P 0.5000 0.7685 0.7893  -0.08

Computed properties:
DFT formation energy	-1127.0	meV per atom
D(E_F)	11.64	states/eV/cell
total magnetic moment	4.0	Bohr magnetons per cell



# 7
# Pu3TaP4

A geometry-optimized Pu3TaP4 structure (PBE-GGA, Alexandria via LeMat-Bulk).

a = 6.7145 Å, b = 6.6681 Å, c = 7.7201 Å
α = 90.00°, β = 90.00°, γ = 109.70°
Each line ends with the local moment (μB).
Positions (direct):
P 0.0003 0.2317 0.1133  -0.04
P 0.5003 0.2317 0.8867  -0.04
P 0.9997 0.7683 0.8867  -0.04
P 0.4893 0.2394 0.3644  -0.02
P 0.9893 0.2394 0.6356  -0.02
P 0.4997 0.7683 0.1133  -0.04
P 0.5107 0.7606 0.6356  -0.02
P 0.0107 0.7606 0.3644  -0.02
Ta 0.2500 0.0000 0.1263  -0.01
Ta 0.7500 0.0000 0.8737  -0.01
Pu 0.7500 0.0000 0.3715  -4.91
Pu 0.2500 0.5000 0.3711  4.99
Pu 0.2500 0.0000 0.6285  -4.91
Pu 0.7500 0.5000 0.6289  4.99
Pu 0.2500 0.5000 0.8769  4.93
Pu 0.7500 0.5000 0.1231  4.93

Computed properties:
DFT formation energy	-1033.1	meV per atom
D(E_F)	52.01	states/eV/cell
total magnetic moment	10.1	Bohr magnetons per cell



# 8
# TbPuP2

A geometry-optimized TbPuP2 structure (PBE-GGA, Alexandria via LeMat-Bulk).

a = 5.6608 Å, b = 5.6608 Å, c = 6.9431 Å
α = 114.06°, β = 114.06°, γ = 90.00°
Each line ends with the local moment (μB).
Positions (direct):
Pu 0.7500 0.2500 0.5000  4.90
Pu 0.0000 0.0000 0.0000  4.90
P 0.7539 0.7539 0.5078  -0.10
P 0.5039 0.0039 0.0078  -0.10
P 0.9961 0.4961 0.9922  -0.10
P 0.2461 0.2461 0.4922  -0.10
Tb 0.2500 0.7500 0.5000  0.02
Tb 0.5000 0.5000 0.0000  0.02

Computed properties:
DFT formation energy	-1382.0	meV per atom
D(E_F)	17.50	states/eV/cell
energy above the most stable polymorph in this dataset	2	meV/atom
total magnetic moment	9.8	Bohr magnetons per cell